A:
4
Lattice="1.527 -2.180 0.000 1.527 2.180 0.000 0.000 0.000 9.477" Properties=species:S:1:pos:R:3 comment="FeReAg2, relaxed, DFT GGA-PBE" sg="No. 65" magmom_total_mub_per_fu=2.94 pbc="T T T"
Fe 0.000 0.000 0.000
Re 0.000 0.000 4.739
Ag 1.527 0.000 2.277
Ag 1.527 0.000 7.201

---

B:
4
Lattice="-1.416 2.394 4.695 1.416 -2.394 4.695 1.416 2.394 -4.695" Properties=species:S:1:pos:R:3 comment="FeReAg2, relaxed, DFT GGA-PBE" sg="No. 44" magmom_total_mub_per_fu=2.28 pbc="T T T"
Fe 0.000 0.000 0.000
Re 1.416 0.000 1.908
Ag 0.000 0.000 4.476
Ag 0.000 2.394 2.355

---

C:
4
Lattice="-1.364 2.327 4.918 1.364 -2.327 4.918 1.364 2.327 -4.918" Properties=species:S:1:pos:R:3 comment="FeReAg2, relaxed, DFT GGA-PBE" sg="No. 71" magmom_total_mub_per_fu=2.55 pbc="T T T"
Fe 0.000 0.000 0.000
Re 0.000 0.000 4.918
Ag 1.364 0.000 2.348
Ag 0.000 2.327 2.570

---

A (0.056 eV/atom below the next structure)

---

A:
4
Lattice="-2.039 2.039 3.705 2.039 -2.039 3.705 2.039 2.039 -3.705" Properties=species:S:1:pos:R:3 comment="FeReAg2, relaxed, DFT GGA-PBE" sg="No. 119" magmom_total_mub_per_fu=2.07 pbc="T T T"
Fe 0.000 0.000 0.000
Re 2.039 0.000 1.852
Ag 0.000 0.000 3.705
Ag 0.000 2.039 1.852

---

B:
4
Lattice="2.640 0.000 0.000 0.000 4.782 0.000 -0.599 0.000 4.954" Properties=species:S:1:pos:R:3 comment="FeReAg2, relaxed, DFT GGA-PBE" sg="No. 10" magmom_total_mub_per_fu=2.74 pbc="T T T"
Fe 0.000 0.000 0.000
Re 1.021 0.000 2.477
Ag 0.101 2.391 3.737
Ag 1.941 2.391 1.218

---

C:
4
Lattice="2.793 0.000 0.000 0.000 2.793 0.000 0.000 0.000 7.908" Properties=species:S:1:pos:R:3 comment="FeReAg2, relaxed, DFT GGA-PBE" sg="No. 99" magmom_total_mub_per_fu=0.61 pbc="T T T"
Fe 0.000 0.000 0.000
Re 1.397 1.397 1.430
Ag 0.000 0.000 3.671
Ag 1.397 1.397 5.878

---

D:
4
Lattice="2.707 -4.392 0.000 2.707 4.392 0.000 0.000 0.000 2.630" Properties=species:S:1:pos:R:3 comment="FeReAg2, relaxed, DFT GGA-PBE" sg="No. 65" magmom_total_mub_per_fu=3.26 pbc="T T T"
Fe 0.000 0.000 0.000
Re 2.707 0.000 0.000
Ag 1.353 2.196 1.315
Ag 1.353 -2.196 1.315

---

C (0.299 eV/atom below the next structure)

---

A:
4
Lattice="1.381 0.798 9.293 -1.381 0.798 9.293 0.000 -1.595 9.293" Properties=species:S:1:pos:R:3 comment="FeReAg2, relaxed, DFT GGA-PBE" sg="No. 160" magmom_total_mub_per_fu=0.83 pbc="T T T"
Fe 0.000 0.000 0.000
Re 0.000 0.000 20.491
Ag 0.000 0.000 6.974
Ag 0.000 0.000 13.733

---

B:
8
Lattice="-3.624 3.624 2.510 3.624 -3.624 2.510 3.624 3.624 -2.510" Properties=species:S:1:pos:R:3 comment="FeReAg2, relaxed, DFT GGA-PBE" sg="No. 122" magmom_total_mub_per_fu=0.07 pbc="T T T"
Fe 0.000 0.000 0.000
Fe 0.000 3.624 1.255
Re 3.624 0.000 1.255
Re 0.000 0.000 2.510
Ag 1.812 1.636 -0.628
Ag 1.988 -1.812 3.138
Ag 1.812 1.988 1.883
Ag 1.636 5.437 0.628

---

C:
4
Lattice="1.516 -2.245 0.000 1.516 2.245 0.000 0.000 0.000 9.227" Properties=species:S:1:pos:R:3 comment="FeReAg2, relaxed, DFT GGA-PBE" sg="No. 35" magmom_total_mub_per_fu=2.50 pbc="T T T"
Fe 0.000 0.000 0.000
Re 1.516 0.000 7.264
Ag 0.000 0.000 4.779
Ag 1.516 0.000 2.291

---

D:
4
Lattice="4.526 -1.326 0.000 4.526 1.326 0.000 -0.573 0.000 5.173" Properties=species:S:1:pos:R:3 comment="FeReAg2, relaxed, DFT GGA-PBE" sg="No. 8" magmom_total_mub_per_fu=2.28 pbc="T T T"
Fe 0.000 0.000 0.000
Re 1.805 0.000 4.183
Ag 4.225 0.000 2.726
Ag 6.603 0.000 1.481

---

A (0.008 eV/atom below the next structure)